No. 1
# K3Hg2Bi4 (PBE, optimized geometry)
# total magnetization	0.00	Bohr magnetons per cell
# crystal system	monoclinic
# energy relative to the lowest polymorph listed for this composition	0	meV/atom
# DOS(E_F)	3.08	states/eV/f.u.
# uncorrected energy	-0.178	Ry per atom
data_K3Hg2Bi4
_space_group_name_H-M_alt 'C 1 2/m 1'
_space_group_IT_number 12
_cell_length_a 12.619
_cell_length_b 5.534
_cell_length_c 10.850
_cell_angle_alpha 90.00
_cell_angle_beta 119.61
_cell_angle_gamma 90.00
loop_
_space_group_symop_operation_xyz
'x,y,z'
'-x,-y,-z'
'-x,y,-z'
'x,-y,z'
'x+1/2,y+1/2,z'
'-x+1/2,-y+1/2,-z'
'-x+1/2,y+1/2,-z'
'x+1/2,-y+1/2,z'
loop_
_atom_site_label
_atom_site_type_symbol
_atom_site_fract_x
_atom_site_fract_y
_atom_site_fract_z
K1 K 0.000 0.000 0.000
K2 K 0.188 0.500 0.635
Hg1 Hg 0.067 0.500 0.244
Bi1 Bi 0.008 0.000 0.353
Bi2 Bi 0.250 0.000 0.918

***

No. 2
# ZrTi2H (PBE, optimized geometry)
# total magnetization	3.79	Bohr magnetons per cell
# crystal system	tetragonal
# energy relative to the lowest polymorph listed for this composition	104	meV/atom
# DOS(E_F)	1.97	states/eV/f.u.
# uncorrected energy	-0.509	Ry per atom
data_ZrTi2H
_space_group_name_H-M_alt 'I -4 2 d'
_space_group_IT_number 122
_space_group_name_Hall 'I -4 2bw'
_cell_length_a 5.691
_cell_length_b 5.691
_cell_length_c 7.865
_cell_angle_alpha 90.00
_cell_angle_beta 90.00
_cell_angle_gamma 90.00
loop_
_atom_site_label
_atom_site_type_symbol
_atom_site_fract_x
_atom_site_fract_y
_atom_site_fract_z
Zr1 Zr 0.000 0.000 0.000
Ti1 Ti 0.059 0.750 0.625
H1 H 0.000 0.000 0.500